(1)
Density functional theory data (meta-GGA SCAN) for a crystal of ReMoSe2 relaxed with PBEsol.

The structure belongs to space group R-3m (No. 166, hexagonal axes); the cell edges are 3.0130, 3.0130 and 23.4638 Å and the angles 90.00°, 90.00° and 120.00°. The inequivalent atoms are Re at (0.0000, 0.0000, 0.0000), Mo at (0.0000, 0.0000, 0.5000) and Se at (0.0000, 0.0000, 0.2500).

The calculation puts the uncorrected formation energy at 468 meV/atom. As for the density of states at the Fermi level: 10.32 states/eV/cell. The value obtained for the energy relative to the lowest polymorph listed for this composition is 17 meV per atom.

---

(2)
Density functional theory data (meta-GGA SCAN) for a crystal of TeMoPt relaxed with PBEsol.

The structure belongs to space group F-43m (No. 216); the cell edges are 6.1442, 6.1442 and 6.1442 Å and the angles 90.00°, 90.00° and 90.00°. The inequivalent atoms are Te at (0.0000, 0.0000, 0.0000), Mo at (0.2500, 0.2500, 0.7500) and Pt at (0.2500, 0.2500, 0.2500).

The calculation puts the uncorrected formation energy at 311 meV/atom. As for the density of states at the Fermi level: 8.95 states/eV/cell.

---

(3)
Density functional theory data (meta-GGA SCAN) for a crystal of YTe2Pb relaxed with PBEsol.

The structure belongs to space group Pmmm (No. 47); the cell edges are 4.4058, 4.4434 and 6.3037 Å and the angles 90.00°, 90.00° and 90.00°. The inequivalent atoms are Y at (0.0000, 0.0000, 0.0000), Te at (0.0000, 0.0000, 0.5000), Te at (0.5000, 0.5000, 0.0000) and Pb at (0.5000, 0.5000, 0.5000).

The calculation puts the uncorrected formation energy at -860 meV/atom. As for the density of states at the Fermi level: 2.20 states/eV/cell.

---

(4)
Density functional theory data (meta-GGA SCAN) for a crystal of Li3TiCr3O8 relaxed with PBEsol.

The structure belongs to space group R-3m (No. 166, hexagonal axes); the cell edges are 5.7994, 5.7994 and 14.4408 Å and the angles 90.00°, 90.00° and 120.00°. The inequivalent atoms are Li at (0.0000, 0.5000, 0.0000), Ti at (0.0000, 0.0000, 0.5000), Cr at (0.0000, 0.5000, 0.5000), O at (0.0000, 0.0000, 0.2401) and O at (0.0055, 0.5028, 0.2399).

The calculation puts the uncorrected formation energy at -2643 meV/atom.

---

(5)
Density functional theory data (meta-GGA SCAN) for a crystal of TlOsRh2 relaxed with PBEsol.

The structure belongs to space group Pmm2 (No. 25); the cell edges are 2.8071, 3.7802 and 5.8797 Å and the angles 90.00°, 90.00° and 90.00°. The inequivalent atoms are Tl at (0.0000, 0.0000, 0.0000), Os at (0.5000, 0.5000, 0.3045), Rh at (0.0000, 0.0000, 0.4945) and Rh at (0.5000, 0.5000, 0.7465).

As for the density of states at the Fermi level: 2.72 states/eV/cell. The value obtained for the energy relative to the lowest polymorph listed for this composition is 60 meV per atom. For the formation energy, the calculation gives 454.2 meV/atom.

---

(6)
Density functional theory data (meta-GGA SCAN) for a crystal of Cs2KSbCl6 relaxed with PBEsol.

The structure belongs to space group Fm-3m (No. 225); the cell edges are 11.1249, 11.1249 and 11.1249 Å and the angles 90.00°, 90.00° and 90.00°. The inequivalent atoms are Cs at (0.2500, 0.2500, 0.2500), K at (0.0000, 0.0000, 0.0000), Sb at (0.0000, 0.0000, 0.5000) and Cl at (0.0000, 0.0000, 0.2638).

The calculation puts the uncorrected formation energy at -1734 meV/atom. As for the density of states at the Fermi level: 0.00 states/eV/cell.

---

The calculation returns the following DFT total energy values, one per record and in order: -432.806; -565.589; -181.568; -503.560; -209.965; -745.673 eV/cell.